<A>
A plane-wave DFT calculation with PBE was carried out for crystalline K3BaCl at its relaxed geometry.

Size of the total moment (μB/cell): 1.70
Fermi-level density of states (states/eV/atom): 0.76

Cell: 6.521 6.521 6.521 Å, 90.00 90.00 90.00°
Element x y z (fractional)
K 0.000 0.000 0.500
K 0.000 0.500 0.000
K 0.500 0.000 0.000
Ba 0.500 0.500 0.500
Cl 0.000 0.000 0.000

=====

<B>
A plane-wave DFT calculation with PBE was carried out for crystalline K3BaCl at its relaxed geometry.

Size of the total moment (μB/cell): 2.00
Fermi-level density of states (states/eV/atom): 0.17

Cell: 8.281 8.281 8.281 Å, 90.00 90.00 90.00°
Element x y z (fractional)
K 0.000 0.000 0.500
K 0.000 0.500 0.000
K 0.500 0.000 0.000
Ba 0.000 0.000 0.000
Cl 0.500 0.500 0.500

=====

Which one sits at the top of the stability order? <A> does.

=====

<A>
A plane-wave DFT calculation with PBE was carried out for crystalline KBa2NaCl at its relaxed geometry.

Size of the total moment (μB/cell): 0.00
Fermi-level density of states (states/eV/atom): 1.19

Cell: 6.359 6.359 6.339 Å, 90.00 90.00 90.00°
Element x y z (fractional)
K 0.000 0.000 0.000
Ba 0.000 0.500 0.500
Ba 0.500 0.000 0.500
Na 0.500 0.500 0.000
Cl 0.000 0.000 0.500

=====

<B>
A plane-wave DFT calculation with PBE was carried out for crystalline KBa2NaCl at its relaxed geometry.

Size of the total moment (μB/cell): 0.00
Fermi-level density of states (states/eV/atom): 1.13

Cell: 6.311 6.311 6.655 Å, 90.00 90.00 90.00°
Element x y z (fractional)
K 0.000 0.000 0.000
Ba 0.000 0.500 0.500
Ba 0.500 0.000 0.500
Na 0.500 0.500 0.000
Cl 0.500 0.500 0.500

=====

Which one sits at the top of the stability order? <A> does.

=====

<A>
A plane-wave DFT calculation with PBE was carried out for crystalline KBaP2Cl at its relaxed geometry.

Size of the total moment (μB/cell): 4.01
Fermi-level density of states (states/eV/atom): 0.44

Cell: 6.317 6.317 5.980 Å, 90.00 90.00 90.00°
Element x y z (fractional)
K 0.000 0.000 0.000
Ba 0.500 0.500 0.500
P 0.000 0.500 0.500
P 0.500 0.000 0.500
Cl 0.500 0.500 0.000

=====

<B>
A plane-wave DFT calculation with PBE was carried out for crystalline KBaP2Cl at its relaxed geometry.

Size of the total moment (μB/cell): 1.47
Fermi-level density of states (states/eV/atom): 1.05

Cell: 5.436 5.436 5.625 Å, 90.00 90.00 90.00°
Element x y z (fractional)
K 0.000 0.000 0.000
Ba 0.500 0.500 0.500
P 0.000 0.500 0.000
P 0.500 0.000 0.000
Cl 0.000 0.000 0.500

=====

Which one sits at the top of the stability order? <A> does.